Record 1
The following is a DFT calculation (PBE) of a geometry-optimized TiBOs structure.

energy relative to the lowest polymorph listed for this composition = 0.3406 eV/atom
total magnetization = 0.0 μB/cell
DFT total energy = -8.84 eV/atom
energy of formation from the pure elements = -0.24 eV/atom
DOS(E_F) = 2.669 states/eV/f.u.

Cell: 4.248 5.123 4.248 Å, 70.92 77.77 109.08°
Positions (direct):
Os1 0.743 0.000 0.845
Os2 0.155 0.000 0.257
B1 0.282 0.000 0.718
Ti1 0.450 0.500 0.550
B2 0.616 0.000 0.384
Ti2 0.950 0.500 0.050

=====

Record 2
The following is a DFT calculation (PBE) of a geometry-optimized TiBOs3 structure.

energy relative to the lowest polymorph listed for this composition = 0.0000 eV/atom
total magnetization = 0.0 μB/cell
DFT total energy = -9.82 eV/atom
energy of formation from the pure elements = -0.17 eV/atom
DOS(E_F) = 2.613 states/eV/f.u.

Cell: 4.083 4.083 4.083 Å, 90.00 90.00 90.00°
Positions (direct):
Os1 0.000 0.000 0.500
Ti1 0.500 0.500 0.500
B1 0.000 0.000 0.000
Os2 0.000 0.500 0.000
Os3 0.500 0.000 0.000

=====

Record 3
The following is a DFT calculation (PBE) of a geometry-optimized TiB3Os structure.

energy relative to the lowest polymorph listed for this composition = 0.0000 eV/atom
total magnetization = 0.0 μB/cell
DFT total energy = -7.11 eV/atom
energy of formation from the pure elements = 0.72 eV/atom
DOS(E_F) = 3.539 states/eV/f.u.

Cell: 4.006 4.006 4.006 Å, 90.00 90.00 90.00°
Positions (direct):
Ti1 0.500 0.500 0.500
B1 0.000 0.000 0.500
B2 0.500 0.000 0.000
Os1 0.000 0.000 0.000
B3 0.000 0.500 0.000

=====

Record 4
The following is a DFT calculation (PBE) of a geometry-optimized TiBOs3 structure.

energy relative to the lowest polymorph listed for this composition = 2.9511 eV/atom
total magnetization = 1.8 μB/cell
DFT total energy = -6.87 eV/atom
energy of formation from the pure elements = 2.78 eV/atom
DOS(E_F) = 7.808 states/eV/f.u.

Cell: 4.539 4.539 4.539 Å, 90.00 90.00 90.00°
Each line ends with the local moment (μB).
Positions (direct):
Os1 0.000 0.000 0.500  0.64
Ti1 0.000 0.000 0.000  -0.09
Os2 0.000 0.500 0.000  0.56
B1 0.500 0.500 0.500  0.03
Os3 0.500 0.000 0.000  0.56

=====

Record 5
The following is a DFT calculation (PBE) of a geometry-optimized Ti2B2Os structure.

energy relative to the lowest polymorph listed for this composition = 0.0000 eV/atom
total magnetization = 0.0 μB/cell
DFT total energy = -8.97 eV/atom
energy of formation from the pure elements = -0.89 eV/atom
DOS(E_F) = 0.639 states/eV/f.u.

Cell: 5.879 5.879 3.200 Å, 90.00 90.00 90.00°
Positions (direct):
Os1 0.500 0.500 0.000
Ti1 0.676 0.824 0.500
B1 0.890 0.610 0.000
Os2 0.000 0.000 0.000
Ti2 0.324 0.176 0.500
Ti3 0.824 0.324 0.500
B2 0.390 0.890 0.000
Ti4 0.176 0.676 0.500
B3 0.610 0.110 0.000
B4 0.110 0.390 0.000

=====

Record 6
The following is a DFT calculation (PBE) of a geometry-optimized TiBOs structure.

energy relative to the lowest polymorph listed for this composition = 0.0000 eV/atom
total magnetization = 0.0 μB/cell
DFT total energy = -9.18 eV/atom
energy of formation from the pure elements = -0.58 eV/atom
DOS(E_F) = 1.101 states/eV/f.u.

Cell: 3.176 3.061 7.386 Å, 90.00 102.41 90.00°
Positions (direct):
Ti1 0.413 0.250 0.825
Os1 0.808 0.750 0.617
B1 0.034 0.250 0.069
Os2 0.192 0.250 0.383
Ti2 0.587 0.750 0.175
B2 0.966 0.750 0.931

=====

Record 7
The following is a DFT calculation (PBE) of a geometry-optimized Ti2B2Os structure.

energy relative to the lowest polymorph listed for this composition = 0.1506 eV/atom
total magnetization = 0.0 μB/cell
DFT total energy = -8.81 eV/atom
energy of formation from the pure elements = -0.74 eV/atom
DOS(E_F) = 2.834 states/eV/f.u.

Cell: 3.123 4.736 4.736 Å, 61.92 70.75 70.75°
Positions (direct):
Ti1 0.212 0.288 0.288
Ti2 0.788 0.712 0.712
Os1 0.000 0.000 0.000
B1 0.500 0.325 0.675
B2 0.500 0.675 0.325

=====

Record 8
The following is a DFT calculation (PBE) of a geometry-optimized TiB3Os structure.

energy relative to the lowest polymorph listed for this composition = 1.0965 eV/atom
total magnetization = 0.0 μB/cell
DFT total energy = -6.01 eV/atom
energy of formation from the pure elements = 1.82 eV/atom
DOS(E_F) = 1.550 states/eV/f.u.

Cell: 3.857 3.857 3.857 Å, 90.00 90.00 90.00°
Positions (direct):
B1 0.000 0.000 0.500
B2 0.000 0.500 0.000
B3 0.500 0.000 0.000
Ti1 0.000 0.000 0.000
Os1 0.500 0.500 0.500

=====

Record 9
The following is a DFT calculation (PBE) of a geometry-optimized TiBOsW2 structure.

total magnetization = 0.0 μB/cell
DFT total energy = -10.18 eV/atom
energy of formation from the pure elements = 0.16 eV/atom
DOS(E_F) = 5.049 states/eV/f.u.

Cell: 4.163 4.186 4.163 Å, 90.00 90.00 90.00°
Positions (direct):
W1 0.000 0.000 0.500
Os1 0.500 0.500 0.500
Ti1 0.000 0.500 0.000
W2 0.500 0.000 0.000
B1 0.000 0.000 0.000

=====

Record 10
The following is a DFT calculation (PBE) of a geometry-optimized Y2TiBOs structure.

total magnetization = 1.1 μB/cell
DFT total energy = -6.83 eV/atom
energy of formation from the pure elements = 0.92 eV/atom
DOS(E_F) = 6.638 states/eV/f.u.

Cell: 5.374 4.611 5.374 Å, 90.00 90.00 90.00°
Each line ends with the local moment (μB).
Positions (direct):
Y1 0.000 0.000 0.500  0.05
Ti1 0.000 0.500 0.000  0.63
B1 0.500 0.500 0.500  0.02
Os1 0.000 0.000 0.000  -0.05
Y2 0.500 0.000 0.000  0.08

=====

Record 11
The following is a DFT calculation (PBE) of a geometry-optimized YTiB2Os structure.

total magnetization = 0.0 μB/cell
DFT total energy = -5.54 eV/atom
energy of formation from the pure elements = 2.25 eV/atom
DOS(E_F) = 5.128 states/eV/f.u.

Cell: 4.339 5.116 4.339 Å, 90.00 90.00 90.00°
Each line ends with the local moment (μB).
Positions (direct):
Os1 0.000 0.500 0.000  0.62
Ti1 0.500 0.500 0.500  -0.64
Y1 0.000 0.000 0.000  0.01
B1 0.500 0.000 0.000  0.02
B2 0.000 0.000 0.500  0.01

=====

Record 12
The following is a DFT calculation (PBE) of a geometry-optimized TlBOs2 structure.

energy relative to the lowest polymorph listed for this composition = 0.4529 eV/atom
total magnetization = 0.0 μB/cell
DFT total energy = -6.39 eV/atom
energy of formation from the pure elements = 1.49 eV/atom
DOS(E_F) = 5.580 states/eV/f.u.

Cell: 4.357 4.357 4.357 Å, 60.00 60.00 60.00°
Positions (direct):
B1 0.000 0.000 0.000
Tl1 0.500 0.500 0.500
Os1 0.250 0.250 0.250
Os2 0.750 0.750 0.750

=====

Record 13
The following is a DFT calculation (PBE) of a geometry-optimized TlB3Os structure.

energy relative to the lowest polymorph listed for this composition = 0.0000 eV/atom
total magnetization = 0.0 μB/cell
DFT total energy = -5.90 eV/atom
energy of formation from the pure elements = 0.82 eV/atom
DOS(E_F) = 0.000 states/eV/f.u.

Cell: 4.236 4.236 4.236 Å, 90.00 90.00 90.00°
Positions (direct):
Os1 0.000 0.000 0.000
B1 0.000 0.500 0.000
B2 0.500 0.000 0.000
Tl1 0.500 0.500 0.500
B3 0.000 0.000 0.500

=====

Record 14
The following is a DFT calculation (PBE) of a geometry-optimized TlBOs2 structure.

energy relative to the lowest polymorph listed for this composition = 0.0000 eV/atom
total magnetization = 0.0 μB/cell
DFT total energy = -6.84 eV/atom
energy of formation from the pure elements = 1.03 eV/atom
DOS(E_F) = 3.785 states/eV/f.u.

Cell: 4.681 4.681 7.700 Å, 72.31 72.31 90.00°
Positions (direct):
Os1 0.459 0.125 0.250
Tl1 0.000 0.000 0.000
B1 0.500 0.500 0.000
Tl2 0.750 0.250 0.500
Os2 0.375 0.541 0.750
Os3 0.875 0.709 0.750
B2 0.250 0.750 0.500
Os4 0.291 0.625 0.250

=====

Record 15
The following is a DFT calculation (PBE) of a geometry-optimized TlB3Os structure.

energy relative to the lowest polymorph listed for this composition = 2.4333 eV/atom
total magnetization = 0.0 μB/cell
DFT total energy = -3.47 eV/atom
energy of formation from the pure elements = 3.26 eV/atom
DOS(E_F) = 6.408 states/eV/f.u.

Cell: 4.291 4.291 4.291 Å, 90.00 90.00 90.00°
Positions (direct):
B1 0.000 0.500 0.000
Tl1 0.000 0.000 0.000
Os1 0.500 0.500 0.500
B2 0.500 0.000 0.000
B3 0.000 0.000 0.500

=====

Record 16
The following is a DFT calculation (PBE) of a geometry-optimized Tl2BOs structure.

energy relative to the lowest polymorph listed for this composition = 0.0000 eV/atom
total magnetization = 0.0 μB/cell
DFT total energy = -4.74 eV/atom
energy of formation from the pure elements = 0.92 eV/atom
DOS(E_F) = 2.831 states/eV/f.u.

Cell: 9.884 9.884 7.274 Å, 47.20 47.20 90.00°
Positions (direct):
Os1 0.750 0.250 0.500
B1 0.500 0.500 0.000
Tl1 0.374 0.625 0.250
B2 0.250 0.750 0.500
Os2 0.000 0.000 0.000
Tl2 0.376 0.125 0.250
Tl3 0.375 0.624 0.750
Tl4 0.875 0.626 0.750

=====

Record 17
The following is a DFT calculation (PBE) of a geometry-optimized TlBOs3 structure.

energy relative to the lowest polymorph listed for this composition = 3.4419 eV/atom
total magnetization = 6.1 μB/cell
DFT total energy = -4.43 eV/atom
energy of formation from the pure elements = 4.12 eV/atom
DOS(E_F) = 4.743 states/eV/f.u.

Cell: 5.022 5.022 5.022 Å, 90.00 90.00 90.00°
Each line ends with the local moment (μB).
Positions (direct):
Os1 0.000 0.000 0.500  2.29
Tl1 0.000 0.000 0.000  -0.02
B1 0.500 0.500 0.500  -0.07
Os2 0.500 0.000 0.000  1.60
Os3 0.000 0.500 0.000  1.92

=====

Record 18
The following is a DFT calculation (PBE) of a geometry-optimized Tl2BOs structure.

energy relative to the lowest polymorph listed for this composition = 0.7529 eV/atom
total magnetization = 0.0 μB/cell
DFT total energy = -3.99 eV/atom
energy of formation from the pure elements = 1.67 eV/atom
DOS(E_F) = 2.345 states/eV/f.u.

Cell: 4.740 4.740 4.740 Å, 60.00 60.00 60.00°
Positions (direct):
B1 0.000 0.000 0.000
Tl1 0.750 0.750 0.750
Tl2 0.250 0.250 0.250
Os1 0.500 0.500 0.500

=====

Record 19
The following is a DFT calculation (PBE) of a geometry-optimized TlBOs3 structure.

energy relative to the lowest polymorph listed for this composition = 0.0000 eV/atom
total magnetization = 0.1 μB/cell
DFT total energy = -7.87 eV/atom
energy of formation from the pure elements = 0.68 eV/atom
DOS(E_F) = 5.745 states/eV/f.u.

Cell: 4.194 4.194 4.194 Å, 90.00 90.00 90.00°
Positions (direct):
Tl1 0.500 0.500 0.500
Os1 0.000 0.000 0.500
Os2 0.500 0.000 0.000
B1 0.000 0.000 0.000
Os3 0.000 0.500 0.000

=====

Record 20
The following is a DFT calculation (PBE) of a geometry-optimized TmBOs structure.

energy relative to the lowest polymorph listed for this composition = 0.2329 eV/atom
total magnetization = 0.0 μB/cell
DFT total energy = -7.64 eV/atom
energy of formation from the pure elements = -0.18 eV/atom
DOS(E_F) = 1.215 states/eV/f.u.

Cell: 3.003 3.003 5.326 Å, 106.37 106.37 90.00°
Positions (direct):
B1 0.709 0.709 0.418
Tm1 0.005 0.005 0.009
Os1 0.286 0.286 0.573